# 1
Material: NaBTeH6
Method: DFT, GGA-PBE
State: optimized geometry

Output
**Magnetic moment**: 0.00 μB per atom
**DFT total energy**: -0.266 Ry/atom

Lattice parameters (Å, degrees): 7.0876 4.5193 4.5693 67.09 84.29 69.09
Fractional positions:
H  0.1013  0.4857  0.6350
H  0.4494  0.8242  0.4891
Te  0.9997  0.2351  0.9304
H  0.6568  0.9903  0.2072
B  0.5042  0.0721  0.3537
H  0.3646  0.2993  0.1674
H  0.5428  0.1757  0.5440
Na  0.5125  0.7094  0.0124
H  0.8685  0.2083  0.6607

# 2
Material: NaYB4H16
Method: DFT, GGA-PBE
State: optimized geometry

Output
**Magnetic moment**: 0.00 μB per atom
**DFT total energy**: -0.318 Ry/atom

Lattice parameters (Å, degrees): 7.3746 7.3746 8.9681 90.00 90.00 109.45
Fractional positions:
Y  0.6505  0.3495  0.7500
H  0.8357  0.8798  0.7593
H  0.6426  0.3015  0.4937
H  0.0984  0.6952  0.3847
H  0.3574  0.6985  0.9937
H  0.3048  0.9016  0.1153
B  0.2937  0.2282  0.7473
Na  0.0514  0.0514  0.0000
H  0.6952  0.0984  0.6153
H  0.8798  0.8357  0.2407
H  0.8987  0.6348  0.7773
B  0.7718  0.7063  0.7527
B  0.7680  0.2313  0.5259
H  0.9016  0.3048  0.8847
H  0.3652  0.1013  0.7227
H  0.3015  0.6426  0.5063
H  0.1202  0.1643  0.7407
H  0.7031  0.6491  0.6283
H  0.6985  0.3574  0.0063
H  0.3583  0.3575  0.6546
H  0.3575  0.3583  0.3454
H  0.8218  0.1745  0.0862
B  0.2313  0.7680  0.4741
H  0.2969  0.3509  0.1283
H  0.6348  0.8987  0.2227
H  0.6425  0.6417  0.8454
H  0.6491  0.7031  0.3717
H  0.1012  0.6445  0.0925
B  0.2320  0.7687  0.0259
B  0.7063  0.7718  0.2473
H  0.3509  0.2969  0.8717
B  0.2282  0.2937  0.2527
H  0.6445  0.1012  0.9075
Y  0.3495  0.6505  0.2500
H  0.3555  0.8988  0.4075
B  0.7687  0.2320  0.9741
H  0.1782  0.8255  0.5862
H  0.1013  0.3652  0.2773
H  0.8255  0.1782  0.4138
H  0.1745  0.8218  0.9138
H  0.8988  0.3555  0.5925
H  0.1643  0.1202  0.2593
Na  0.9486  0.9486  0.5000
H  0.6417  0.6425  0.1546

# 3
Material: NaYbB4H16
Method: DFT, GGA-PBE
State: optimized geometry

Output
**Magnetic moment**: 0.05 μB per atom
**DFT total energy**: -0.294 Ry/atom

Lattice parameters (Å, degrees): 7.3056 7.3056 8.7959 90.00 90.00 110.03
Each line ends with the local moment (μB).
Fractional positions:
B  0.7653  0.2347  0.9775  0.03
H  0.3309  0.3493  0.1363  0.01
B  0.7133  0.7712  0.2500  0.04
H  0.1786  0.8214  0.5913  0.00
H  0.3349  0.6651  0.5119  0.01
B  0.2347  0.7653  0.0225  0.03
H  0.0982  0.6632  0.1034  0.01
H  0.6651  0.3349  0.4881  0.01
Yb  0.6463  0.3537  0.7500  0.60
H  0.1623  0.1107  0.2500  0.00
H  0.8893  0.8377  0.2500  0.00
Na  0.0000  0.0000  0.0000  0.00
H  0.3596  0.0982  0.7500  0.02
B  0.7712  0.7133  0.7500  0.04
H  0.8214  0.1786  0.4087  0.00
H  0.9018  0.6404  0.7500  0.02
Na  0.0000  0.0000  0.5000  0.00
H  0.8214  0.1786  0.0913  0.00
H  0.3349  0.6651  0.9881  0.01
H  0.3368  0.9018  0.3966  0.01
H  0.9018  0.3368  0.6034  0.01
H  0.6632  0.0982  0.6034  0.01
B  0.2867  0.2288  0.7500  0.04
H  0.6691  0.6507  0.8637  0.01
B  0.2347  0.7653  0.4775  0.03
H  0.6691  0.6507  0.6363  0.01
H  0.0982  0.6632  0.3966  0.01
Yb  0.3537  0.6463  0.2500  0.60
H  0.9018  0.3368  0.8966  0.01
H  0.6632  0.0982  0.8966  0.01
H  0.3493  0.3309  0.8637  0.01
H  0.8377  0.8893  0.7500  0.00
H  0.6404  0.9018  0.2500  0.02
B  0.2288  0.2867  0.2500  0.04
H  0.0982  0.3596  0.2500  0.02
H  0.6507  0.6691  0.3637  0.01
B  0.7653  0.2347  0.5225  0.03
H  0.3309  0.3493  0.3637  0.01
H  0.1107  0.1623  0.7500  0.00
H  0.1786  0.8214  0.9087  0.00
H  0.3368  0.9018  0.1034  0.01
H  0.6507  0.6691  0.1363  0.01
H  0.3493  0.3309  0.6363  0.01
H  0.6651  0.3349  0.0119  0.01

# 4
Material: NaZn2B5H20
Method: DFT, GGA-PBE
State: optimized geometry

Output
**Magnetic moment**: 0.00 μB per atom
**DFT total energy**: -0.284 Ry/atom

Lattice parameters (Å, degrees): 9.1093 9.1121 16.6046 90.00 90.00 112.40
Fractional positions:
H  0.7712  0.1352  0.5507
H  0.9076  0.1326  0.2457
H  0.1853  0.7320  0.3401
H  0.6954  0.4476  0.3850
H  0.9407  0.3078  0.9706
H  0.0551  0.8518  0.3749
H  0.2222  0.4150  0.4365
H  0.7011  0.5776  0.7839
H  0.3147  0.2680  0.8401
B  0.8710  0.2242  0.5995
H  0.4425  0.3461  0.9368
B  0.6424  0.2928  0.0976
H  0.7222  0.4150  0.0635
Na  0.8179  0.6988  0.4367
H  0.7950  0.1259  0.8964
H  0.6853  0.7320  0.1599
H  0.5593  0.6922  0.4706
B  0.4814  0.0654  0.2910
H  0.0408  0.9155  0.8631
H  0.0593  0.6922  0.0294
H  0.3046  0.5524  0.6150
H  0.2050  0.8741  0.1036
H  0.1272  0.1146  0.2175
H  0.7371  0.2630  0.1438
B  0.2120  0.4861  0.1852
H  0.9257  0.5570  0.7854
H  0.9425  0.3461  0.5632
H  0.2288  0.8648  0.4493
H  0.5326  0.3214  0.1317
H  0.4320  0.9304  0.2631
H  0.8147  0.2680  0.6599
H  0.2989  0.4224  0.2161
H  0.0743  0.4430  0.2146
Zn  0.6201  0.2952  0.2273
H  0.9704  0.1074  0.9608
H  0.0117  0.2705  0.8638
H  0.4076  0.1326  0.2543
Zn  0.8799  0.7048  0.7273
H  0.5117  0.2705  0.6362
H  0.5296  0.8926  0.4608
H  0.9883  0.7295  0.1362
H  0.9320  0.9304  0.2369
H  0.5778  0.1739  0.0583
B  0.0741  0.7979  0.0770
Na  0.6821  0.3012  0.9367
B  0.9814  0.0654  0.2090
H  0.5743  0.4430  0.2854
Zn  0.3799  0.7048  0.7727
Zn  0.1201  0.2952  0.2727
H  0.9222  0.8261  0.5583
H  0.4883  0.7295  0.3638
H  0.5575  0.6539  0.0632
H  0.8728  0.8854  0.7825
H  0.0296  0.8926  0.0392
H  0.0924  0.8674  0.7543
H  0.4222  0.8261  0.9417
H  0.8046  0.5524  0.8850
H  0.4407  0.3078  0.5294
H  0.2258  0.3744  0.7020
B  0.0186  0.9346  0.7910
H  0.7288  0.8648  0.0507
B  0.6290  0.7758  0.0995
H  0.5551  0.8518  0.1251
H  0.0575  0.6539  0.4368
H  0.4592  0.0845  0.3631
H  0.2742  0.6256  0.2020
H  0.3728  0.8854  0.7175
H  0.2778  0.5850  0.9365
H  0.2950  0.1259  0.6036
H  0.2371  0.2630  0.3562
B  0.2880  0.5139  0.6852
H  0.4674  0.6786  0.8683
B  0.7880  0.5139  0.8148
H  0.2011  0.5776  0.7161
Zn  0.8813  0.8603  0.1222
H  0.7629  0.7370  0.6438
B  0.5741  0.7979  0.4230
Zn  0.6187  0.1397  0.6222
H  0.5680  0.0696  0.7369
H  0.7742  0.6256  0.2980
B  0.1290  0.7758  0.4005
H  0.9449  0.1482  0.6251
H  0.0326  0.3214  0.3683
Na  0.1821  0.3012  0.5633
Na  0.3179  0.6988  0.0633
H  0.1954  0.4476  0.1150
H  0.6272  0.1146  0.2825
H  0.9592  0.0845  0.1369
B  0.3576  0.7072  0.9024
H  0.7258  0.3744  0.7980
B  0.8576  0.7072  0.5976
H  0.7050  0.8741  0.3964
H  0.4257  0.5570  0.7146
B  0.7120  0.4861  0.3148
B  0.1424  0.2928  0.4024
H  0.5924  0.8674  0.7457
H  0.0680  0.0696  0.7631
H  0.2629  0.7370  0.8562
H  0.7778  0.5850  0.5635
H  0.4449  0.1482  0.8749
H  0.7989  0.4224  0.2839
H  0.4704  0.1074  0.5392
B  0.3710  0.2242  0.9005
Zn  0.3813  0.8603  0.3778
B  0.4259  0.2021  0.5770
H  0.5408  0.9155  0.6369
H  0.2712  0.1352  0.9493
H  0.9674  0.6786  0.6317
B  0.5186  0.9346  0.7090
H  0.0778  0.1739  0.4417
B  0.9259  0.2021  0.9230
Zn  0.1187  0.1397  0.8778

# 5
Material: NbB2H
Method: DFT, GGA-PBE
State: optimized geometry

Output
**Distance to the lowest polymorph of the same formula**: 0.0 meV/atom
**Magnetic moment**: 0.00 μB per atom
**DFT total energy**: -0.474 Ry/atom

Lattice parameters (Å, degrees): 3.3695 3.3695 6.4278 74.80 74.80 90.00
Fractional positions:
H  0.5000  0.5000  0.0000
B  0.3751  0.6250  0.2500
B  0.8750  0.6249  0.7500
Nb  0.0000  0.0000  0.0000
H  0.2500  0.7500  0.5000
Nb  0.7500  0.2500  0.5000
B  0.3749  0.1250  0.2500
B  0.3750  0.6251  0.7500

# 6
Material: NbBH2
Method: DFT, GGA-PBE
State: optimized geometry

Output
**Distance to the lowest polymorph of the same formula**: 209.7 meV/atom
**Magnetic moment**: 0.00 μB per atom
**DFT total energy**: -0.402 Ry/atom

Lattice parameters (Å, degrees): 3.4298 3.4298 3.4298 60.00 60.00 60.00
Fractional positions:
Nb  0.5000  0.5000  0.5000
H  0.7500  0.7500  0.7500
H  0.2500  0.2500  0.2500
B  0.0000  0.0000  0.0000